A geometry-optimized Li2NiP4O12 structure, computed with GGA+U.

a b c (Å): 5.2614 7.0727 7.2054
angles (deg): 108.03 94.34 107.28
Space group P-1 (No. 2)
Unique sites:
Li 0.1552 0.2234 0.0628 x2
Ni 0.5000 0.5000 0.5000 x1
P 0.1748 0.7103 0.2933 x2
P 0.3624 0.9186 0.7272 x2
O 0.0728 0.3185 0.8392 x2
O 0.1656 0.8513 0.5165 x2
O 0.1960 0.9385 0.8853 x2
O 0.2302 0.5134 0.3033 x2
O 0.4478 0.8467 0.2438 x2
O 0.4701 0.2267 0.2960 x2

Calculated values
* total moment: 1.97 μB per formula unit
* total DFT energy (no corrections): -6.70 eV/atom